This record from Alexandria describes an optimized crystal structure of Ti4Zn2Cl. The functional is PBE.

a b c (Å): 7.452 7.452 7.452
angles (deg): 146.30 146.30 48.40
Fractional positions:
Ti 0.000 0.500 0.500
Ti 0.175 0.175 0.000
Ti 0.500 0.000 0.500
Ti 0.825 0.825 0.000
Zn 0.369 0.369 0.000
Zn 0.631 0.631 0.000
Cl 0.000 0.000 0.000

Computed properties:
- symmetry = I4/mmm (139)
- mass density (Mg/m³) = 4.68



This record from Alexandria describes an optimized crystal structure of TiZnCl2. The functional is PBE.

a b c (Å): 10.016 10.016 10.016
angles (deg): 18.25 18.25 18.25
Fractional positions:
Ti 0.000 0.000 0.000
Zn 0.500 0.500 0.500
Cl 0.389 0.389 0.389
Cl 0.611 0.611 0.611

Computed properties:
- offset from the most stable computed form (meV per atom) = 0
- symmetry = R-3m (166)
- mass density (Mg/m³) = 3.55



This record from Alexandria describes an optimized crystal structure of TiZnCl3. The functional is PBE.

a b c (Å): 4.903 4.903 4.903
angles (deg): 90.00 90.00 90.00
Fractional positions:
Ti 0.000 0.000 0.000
Zn 0.500 0.500 0.500
Cl 0.000 0.000 0.500
Cl 0.000 0.500 0.000
Cl 0.500 0.000 0.000

Computed properties:
- symmetry = Pm-3m (221)
- mass density (Mg/m³) = 3.09



This record from Alexandria describes an optimized crystal structure of TiZn2Cl. The functional is PBE.

a b c (Å): 4.830 4.830 4.830
angles (deg): 60.00 60.00 60.00
Fractional positions:
Ti 0.000 0.000 0.000
Zn 0.250 0.250 0.250
Zn 0.750 0.750 0.750
Cl 0.500 0.500 0.500

Computed properties:
- offset from the most stable computed form (meV per atom) = 392
- symmetry = Fm-3m (225)
- mass density (Mg/m³) = 4.46



This record from Alexandria describes an optimized crystal structure of Ti3ZnCl. The functional is PBE.

a b c (Å): 4.447 4.447 4.447
angles (deg): 90.00 90.00 90.00
Fractional positions:
Ti 0.000 0.000 0.500
Ti 0.000 0.500 0.000
Ti 0.500 0.000 0.000
Zn 0.500 0.500 0.500
Cl 0.000 0.000 0.000

Computed properties:
- offset from the most stable computed form (meV per atom) = 0
- symmetry = Pm-3m (221)
- mass density (Mg/m³) = 4.62



This record from Alexandria describes an optimized crystal structure of TiZn3Cl. The functional is PBE.

a b c (Å): 5.268 5.268 5.268
angles (deg): 90.00 90.00 90.00
Fractional positions:
Ti 0.000 0.000 0.000
Zn 0.000 0.000 0.500
Zn 0.000 0.500 0.000
Zn 0.500 0.000 0.000
Cl 0.500 0.500 0.500

Computed properties:
- offset from the most stable computed form (meV per atom) = 0
- symmetry = Pm-3m (221)
- mass density (Mg/m³) = 3.17



This record from Alexandria describes an optimized crystal structure of ZrTi2Cl6. The functional is PBE.

a b c (Å): 8.701 8.701 5.965
angles (deg): 110.00 110.00 79.17
Fractional positions:
Zr 0.073 0.927 0.750
Zr 0.927 0.073 0.250
Ti 0.174 0.325 0.494
Ti 0.325 0.174 0.994
Ti 0.675 0.826 0.006
Ti 0.826 0.675 0.506
Cl 0.027 0.234 0.731
Cl 0.116 0.621 0.770
Cl 0.234 0.027 0.231
Cl 0.289 0.443 0.282
Cl 0.379 0.884 0.730
Cl 0.443 0.289 0.782
Cl 0.557 0.711 0.218
Cl 0.621 0.116 0.270
Cl 0.711 0.557 0.718
Cl 0.766 0.973 0.769
Cl 0.884 0.379 0.230
Cl 0.973 0.766 0.269

Computed properties:
- symmetry = C2/c (15)
- mass density (Mg/m³) = 3.34



This record from Alexandria describes an optimized crystal structure of Zr2TiCl5. The functional is PBE.

a b c (Å): 6.180 6.183 6.191
angles (deg): 66.85 81.53 63.98
Fractional positions:
Zr 0.000 0.000 0.000
Zr 0.003 0.446 0.556
Ti 0.266 0.304 0.973
Cl 0.325 0.532 0.245
Cl 0.361 0.027 0.754
Cl 0.625 0.394 0.765
Cl 0.970 0.738 0.763
Cl 0.985 0.217 0.276

Computed properties:
- symmetry = P1 (1)
- mass density (Mg/m³) = 3.46



| no. | E (eV/atom) |
| --- | --- |
| 1 | -4.97 |
| 2 | -4.07 |
| 3 | -3.84 |
| 4 | -2.63 |
| 5 | -5.30 |
| 6 | -2.07 |
| 7 | -5.26 |
| 8 | -5.43 |